The following is a PBE calculation of crystalline MgTcPH at its relaxed geometry, from Alexandria via LeMat-Bulk.

It has space group Cm (No. 8), with a = 10.551 Å, b = 3.136 Å, c = 3.054 Å, α = 90.00°, β = 101.43° and γ = 90.00°. Symmetry generates all atoms from Mg at (0.000, 0.000, 0.000), Tc at (0.283, 0.000, 0.252), P at (0.177, 0.500, 0.678) and H at (0.386, 0.000, 0.827).

The energy above the most stable polymorph in this dataset comes out at 90 meV/atom. The calculation puts the total magnetic moment at 0.000 μB per atom.